i) PBE-GGA CsNiTeAu, optimized geometry; symmetry = F-43m (216); volume = 104 Å³ per cell
1.0
0.000 3.738 3.738
3.738 0.000 3.738
3.738 3.738 0.000
Cs Ni Te Au
1 1 1 1
Cartesian
0.000 0.000 0.000
1.869 1.869 1.869
3.738 3.738 3.738
5.606 5.606 5.606


ii) PBE-GGA CsNiTeAu, optimized geometry; symmetry = F-43m (216); volume = 110 Å³ per cell
1.0
0.000 3.803 3.803
3.803 0.000 3.803
3.803 3.803 0.000
Cs Ni Te Au
1 1 1 1
Cartesian
0.000 0.000 0.000
3.803 3.803 3.803
5.704 5.704 5.704
1.901 1.901 1.901


Quick one: least stable of them? ii)


i) PBE-GGA CsPAuO, optimized geometry; symmetry = Pmc2_1 (26); volume = 201 Å³ per cell
1.0
3.897 0.000 0.000
0.000 6.275 0.000
0.000 0.000 8.230
Cs P Au O
2 2 2 2
Cartesian
0.000 0.793 0.000
0.000 5.482 4.115
1.948 2.069 5.270
1.948 4.206 1.155
1.948 2.560 2.910
1.948 3.715 7.025
0.000 1.962 2.721
0.000 4.313 6.835


ii) PBE-GGA CsPAuO, optimized geometry; symmetry = Pmc2_1 (26); volume = 184 Å³ per cell
1.0
3.603 0.000 0.000
0.000 10.558 0.000
0.000 0.000 4.828
Cs P Au O
2 2 2 2
Cartesian
0.000 1.319 0.000
0.000 9.239 2.414
0.000 5.034 2.634
0.000 5.524 0.220
1.801 3.466 2.508
1.801 7.093 0.094
1.801 1.489 2.369
1.801 9.069 4.784


Quick one: least stable of them? i)


i) PBE-GGA CsAuSO, optimized geometry; symmetry = Pmc2_1 (26); volume = 219 Å³ per cell
1.0
4.571 0.000 0.000
0.000 7.136 0.000
0.000 0.000 6.712
Cs Au S O
2 2 2 2
Cartesian
0.000 1.066 0.000
0.000 6.070 3.356
2.286 3.284 2.873
2.286 3.852 6.229
0.000 2.573 3.249
0.000 4.564 6.605
2.286 2.443 1.029
2.286 4.693 4.384


ii) PBE-GGA CsAuSO, optimized geometry; symmetry = P4/nmm (129); volume = 201 Å³ per cell
1.0
4.797 0.000 0.000
0.000 4.797 0.000
0.000 0.000 8.734
Cs Au S O
2 2 2 2
Cartesian
1.199 3.598 0.000
3.598 1.199 0.000
1.199 1.199 4.362
3.598 3.598 4.371
1.199 1.199 2.058
3.598 3.598 6.676
1.199 3.598 4.367
3.598 1.199 4.367


iii) PBE-GGA CsAuSO, optimized geometry; symmetry = Pca2_1 (29); volume = 429 Å³ per cell
1.0
8.119 0.000 0.000
0.000 9.012 0.000
0.000 0.000 5.860
Cs Au S O
4 4 4 4
Cartesian
0.764 1.442 0.000
3.295 1.442 2.930
4.824 7.569 0.000
7.355 7.569 2.930
1.061 6.064 5.770
2.999 6.064 2.840
5.120 2.947 5.770
7.059 2.947 2.840
1.532 4.627 3.943
2.528 4.627 1.013
5.591 4.384 3.943
6.588 4.384 1.013
0.113 1.408 2.958
3.947 1.408 0.028
4.173 7.603 2.958
8.006 7.603 0.028


Quick one: least stable of them? ii)


i) PBE-GGA CsTeAuO, optimized geometry; symmetry = P4/nmm (129); volume = 236 Å³ per cell
1.0
4.722 0.000 0.000
0.000 4.722 0.000
0.000 0.000 10.586
Cs Te Au O
2 2 2 2
Cartesian
1.180 3.542 0.000
3.542 1.180 0.000
1.180 1.180 2.635
3.542 3.542 7.951
1.180 1.180 5.314
3.542 3.542 5.271
1.180 3.542 5.293
3.542 1.180 5.293


ii) PBE-GGA CsTeAuO, optimized geometry; symmetry = Pmc2_1 (26); volume = 269 Å³ per cell
1.0
5.077 0.000 0.000
0.000 7.675 0.000
0.000 0.000 6.891
Cs Te Au O
2 2 2 2
Cartesian
0.000 1.285 0.000
0.000 6.391 3.446
0.000 2.749 3.314
0.000 4.927 6.760
2.538 3.604 2.749
2.538 4.071 6.194
2.538 2.740 0.889
2.538 4.935 4.334


Quick one: least stable of them? i)


i) PBE-GGA CsPdAu, optimized geometry; symmetry = F-43m (216); volume = 92 Å³ per cell
1.0
0.000 3.578 3.578
3.578 0.000 3.578
3.578 3.578 0.000
Cs Pd Au
1 1 1
Cartesian
0.000 0.000 0.000
5.368 5.368 5.368
3.578 3.578 3.578


ii) PBE-GGA CsPdAu, optimized geometry; symmetry = F-43m (216); volume = 104 Å³ per cell
1.0
0.000 3.732 3.732
3.732 0.000 3.732
3.732 3.732 0.000
Cs Pd Au
1 1 1
Cartesian
0.000 0.000 0.000
1.866 1.866 1.866
5.597 5.597 5.597


Quick one: least stable of them? ii)


i) PBE-GGA CsTePtAu, optimized geometry; symmetry = F-43m (216); volume = 104 Å³ per cell
1.0
0.000 3.736 3.736
3.736 0.000 3.736
3.736 3.736 0.000
Cs Te Pt Au
1 1 1 1
Cartesian
0.000 0.000 0.000
3.736 3.736 3.736
1.868 1.868 1.868
5.603 5.603 5.603


ii) PBE-GGA CsTePtAu, optimized geometry; symmetry = F-43m (216); volume = 106 Å³ per cell
1.0
0.000 3.754 3.754
3.754 0.000 3.754
3.754 3.754 0.000
Cs Te Pt Au
1 1 1 1
Cartesian
0.000 0.000 0.000
1.877 1.877 1.877
5.631 5.631 5.631
3.754 3.754 3.754


Quick one: least stable of them? ii)


i) PBE-GGA CsRbAu, optimized geometry; symmetry = F-43m (216); volume = 154 Å³ per cell
1.0
0.000 4.256 4.256
4.256 0.000 4.256
4.256 4.256 0.000
Cs Rb Au
1 1 1
Cartesian
0.000 0.000 0.000
2.128 2.128 2.128
6.383 6.383 6.383


ii) PBE-GGA CsRbAu, optimized geometry; symmetry = F-43m (216); volume = 157 Å³ per cell
1.0
0.000 4.282 4.282
4.282 0.000 4.282
4.282 4.282 0.000
Cs Rb Au
1 1 1
Cartesian
0.000 0.000 0.000
4.282 4.282 4.282
2.141 2.141 2.141


Quick one: least stable of them? i)


i) PBE-GGA Cs2Rb2Sn2Au7, optimized geometry; symmetry = R-3m (166); volume = 415 Å³ per cell
1.0
3.476 2.007 9.917
-3.476 2.007 9.917
0.000 -4.014 9.917
Cs Rb Sn Au
2 2 2 7
Cartesian
0.000 0.000 5.591
0.000 0.000 24.160
0.000 0.000 9.414
0.000 0.000 20.338
0.000 0.000 13.381
0.000 0.000 16.370
0.000 0.000 0.000
-2.052 -1.185 17.579
0.000 -2.369 12.173
-2.052 1.185 12.173
2.052 -1.185 17.579
0.000 2.369 17.579
2.052 1.185 12.173


ii) PBE-GGA Cs2Rb2Sn2Au7, optimized geometry; symmetry = R-3m (166); volume = 415 Å³ per cell
1.0
3.487 2.013 9.860
-3.487 2.013 9.860
0.000 -4.026 9.860
Cs Rb Sn Au
2 2 2 7
Cartesian
0.000 0.000 5.477
0.000 0.000 24.103
0.000 0.000 9.263
0.000 0.000 20.317
0.000 0.000 1.472
0.000 0.000 28.108
0.000 -1.626 12.471
-1.408 0.813 12.471
-1.408 -0.813 17.109
0.000 0.000 14.790
1.408 0.813 12.471
1.408 -0.813 17.109
0.000 1.626 17.109


Quick one: least stable of them? ii)